No. 1
# TaBiN2O

Crystalline TaBiN2O at its relaxed geometry (PBE, OQMD).

Output
uncorrected energy	-8.363	eV per atom

a = 4.0282 Å, b = 4.0282 Å, c = 4.2970 Å
α = 90.00°, β = 90.00°, γ = 90.00°
Closest atoms and distances in Å follow each position.
Space group P4mm (No. 99)
Inequivalent atoms, fractional coordinates:
1 Ta 0.0000 0.0000 0.0000 [1 per cell]  1 O 1.85, 4 N 2.06
2 Bi 0.5000 0.5000 0.3976 [1 per cell]  4 N 2.37
3 N 0.0000 0.5000 0.1053 [2 per cell]  2 Ta 2.06
4 O 0.0000 0.0000 0.5688 [1 per cell]  1 Ta 1.85

***

No. 2
# NdAgO3

Crystalline NdAgO3 at its relaxed geometry (PBE, OQMD).

Output
uncorrected energy	-5.899	eV per atom

a = 4.0213 Å, b = 4.0213 Å, c = 4.3009 Å
α = 90.00°, β = 90.00°, γ = 90.00°
Closest atoms and distances in Å follow each position.
Space group P4mm (No. 99)
Inequivalent atoms, fractional coordinates:
1 Nd 0.0000 0.0000 0.0000 [1 per cell]  4 O 2.45
2 Ag 0.5000 0.5000 0.6012 [1 per cell]  6 O 2.03-2.18
3 O 0.0000 0.5000 0.6726 [2 per cell]  2 Ag 2.03
4 O 0.5000 0.5000 0.1086 [1 per cell]  2 Ag 2.12-2.18

***

No. 3
# TbHoMo

Crystalline TbHoMo at its relaxed geometry (PBE, OQMD).

Output
uncorrected energy	-5.460	eV per atom
ΔE_f	1.22	eV per atom

a = 6.9384 Å, b = 6.9384 Å, c = 6.9384 Å
α = 90.00°, β = 90.00°, γ = 90.00°
Closest atoms and distances in Å follow each position.
Space group F-43m (No. 216)
Inequivalent atoms, fractional coordinates:
1 Tb 0.0000 0.0000 0.0000 [4 per cell]  4 Ho 3.00
2 Ho 0.2500 0.2500 0.7500 [4 per cell]  4 Tb 3.00, 4 Mo 3.00
3 Mo 0.0000 0.0000 0.5000 [4 per cell]  4 Ho 3.00

***

No. 4
# Al3Ir

Crystalline Al3Ir at its relaxed geometry (PBE, OQMD).

Output
uncorrected energy	-5.500	eV per atom

a = 3.8758 Å, b = 3.8758 Å, c = 3.8758 Å
α = 90.00°, β = 90.00°, γ = 90.00°
Closest atoms and distances in Å follow each position.
Space group Pm-3m (No. 221)
Inequivalent atoms, fractional coordinates:
1 Al 0.0000 0.0000 0.5000 [3 per cell]  8 Al 2.74, 4 Ir 2.74
2 Ir 0.5000 0.5000 0.5000 [1 per cell]  12 Al 2.74

***

No. 5
# HfUTe

Crystalline HfUTe at its relaxed geometry (PBE, OQMD).

Output
uncorrected energy	-7.688	eV per atom

a = 6.9112 Å, b = 6.9112 Å, c = 6.9112 Å
α = 90.00°, β = 90.00°, γ = 90.00°
Closest atoms and distances in Å follow each position.
Space group F-43m (No. 216)
Inequivalent atoms, fractional coordinates:
1 Hf 0.0000 0.0000 0.0000 [4 per cell]  4 Te 2.99
2 U 0.0000 0.0000 0.5000 [4 per cell]  4 Te 2.99
3 Te 0.2500 0.2500 0.2500 [4 per cell]  4 Hf 2.99, 4 U 2.99

***

No. 6
# ErTm2Al3CuAu2

Crystalline ErTm2Al3CuAu2 at its relaxed geometry (PBE, OQMD).

Output
uncorrected energy	-4.596	eV per atom

a = 3.9516 Å, b = 12.5534 Å, c = 7.2348 Å
α = 90.00°, β = 90.00°, γ = 90.00°
Closest atoms and distances in Å follow each position.
Space group Amm2 (No. 38)
Inequivalent atoms, fractional coordinates:
1 Er 0.0000 0.0000 0.0000 [2 per cell]  1 Cu 2.95, 4 Au 2.96, 6 Al 3.24-3.27
2 Tm 0.0000 0.2033 0.6102 [4 per cell]  1 Cu 2.94, 4 Au 2.95, 6 Al 3.23-3.27
3 Al 0.5000 0.0000 0.6398 [2 per cell]  2 Cu 2.60, 2 Au 2.85
4 Al 0.5000 0.1166 0.2906 [4 per cell]  2 Cu 2.60, 2 Au 2.84-2.85
5 Cu 0.0000 0.0000 0.4073 [2 per cell]  6 Al 2.60
6 Au 0.5000 0.1672 0.9067 [4 per cell]  3 Al 2.84-2.85, 4 Tm 2.95, 2 Er 2.96